TaSnSb3: relaxed, PBE-GGA.

It has space group Pm-3m (No. 221), with a = 5.447 Å, b = 5.447 Å, c = 5.447 Å, α = 90.00°, β = 90.00° and γ = 90.00°. The asymmetric unit holds Ta at (0.000, 0.000, 0.000), Sn at (0.500, 0.500, 0.500) and Sb at (0.000, 0.500, 0.500).

The calculation puts the formation energy (no corrections) at 1626.2 meV/atom. The value obtained for the density of states at the Fermi level is 7.245 states/eV/f.u. The value obtained for the energy is -4.018 eV/atom. Its distance to the lowest polymorph of the same formula is 564 kJ/mol of formula units.